Compound: Li2Zn2Sb
Source: Alexandria
Functional: GGA-PBEsol
Structure: relaxed Values from VASP.

Geometry as Quantum ESPRESSO input:
```
&SYSTEM
  ibrav = 0, nat = 10, ntyp = 3
/
ATOMIC_SPECIES
Li 6.94 Li.upf
Zn 65.41 Zn.upf
Sb 121.76 Sb.upf
CELL_PARAMETERS angstrom
7.298 0.000 0.000
0.000 7.298 0.000
0.000 0.000 3.222
ATOMIC_POSITIONS crystal
Li 0.171 0.329 0.000
Li 0.329 0.829 0.000
Li 0.671 0.171 0.000
Li 0.829 0.671 0.000
Zn 0.121 0.621 0.500
Zn 0.379 0.121 0.500
Zn 0.621 0.879 0.500
Zn 0.879 0.379 0.500
Sb 0.000 0.000 0.500
Sb 0.500 0.500 0.500
```

Formation energy without anion corrections   -15.85 kJ/mol of atoms
N(E_F)   2.91 states/eV/cell
Total energy   -2.4952 eV per atom
Total magnetization   0.00 μB per atom

=====

Compound: LiZr2Sb
Source: Alexandria
Functional: GGA-PBEsol
Structure: relaxed Values from VASP.

Geometry as Quantum ESPRESSO input:
```
&SYSTEM
  ibrav = 0, nat = 8, ntyp = 3
/
ATOMIC_SPECIES
Li 6.94 Li.upf
Zr 91.22 Zr.upf
Sb 121.76 Sb.upf
CELL_PARAMETERS angstrom
4.219 0.000 0.000
0.000 4.219 0.000
0.000 0.000 8.887
ATOMIC_POSITIONS crystal
Li 0.000 0.000 0.000
Li 0.500 0.500 0.500
Zr 0.000 0.500 0.250
Zr 0.000 0.500 0.750
Zr 0.500 0.000 0.250
Zr 0.500 0.000 0.750
Sb 0.000 0.000 0.500
Sb 0.500 0.500 0.000
```

Formation energy without anion corrections   -38.13 kJ/mol of atoms
N(E_F)   4.81 states/eV/cell
Total energy   -6.5711 eV per atom
Total magnetization   0.00 μB per atom

=====

Compound: LiZrSb2
Source: Alexandria
Functional: GGA-PBEsol
Structure: relaxed Values from VASP.

Geometry as Quantum ESPRESSO input:
```
&SYSTEM
  ibrav = 0, nat = 8, ntyp = 3
/
ATOMIC_SPECIES
Li 6.94 Li.upf
Zr 91.22 Zr.upf
Sb 121.76 Sb.upf
CELL_PARAMETERS angstrom
4.537 0.000 0.000
0.000 4.537 0.000
0.000 0.000 8.253
ATOMIC_POSITIONS crystal
Li 0.000 0.000 0.000
Li 0.500 0.500 0.500
Zr 0.000 0.000 0.500
Zr 0.500 0.500 0.000
Sb 0.000 0.500 0.250
Sb 0.000 0.500 0.750
Sb 0.500 0.000 0.250
Sb 0.500 0.000 0.750
```

Offset from the most stable computed form   142.8 meV/atom
Formation energy without anion corrections   -37.19 kJ/mol of atoms
N(E_F)   5.54 states/eV/cell
Total energy   -5.4283 eV per atom
Total magnetization   0.00 μB per atom

=====

Q: N(E_F) of number 2 (LiZr2Sb)?
A: 4.81 states/eV/cell